Entry 1:
# NaTbSb | the Alexandria database | GGA-PBE | optimized geometry
data_NaTbSb
_space_group_name_H-M_alt 'R -3 m'
_space_group_IT_number 166
_space_group_name_Hall '-R 3 2"'
_cell_length_a 4.9035
_cell_length_b 4.9035
_cell_length_c 27.9115
_cell_angle_alpha 90.00
_cell_angle_beta 90.00
_cell_angle_gamma 120.00
loop_
_atom_site_label
_atom_site_fract_x
_atom_site_fract_y
_atom_site_fract_z
Na1 0.0000 0.0000 0.2016
Tb1 0.0000 0.0000 0.3749
Sb1 0.0000 0.0000 0.0817
# - Energy relative to the elements, uncorrected: -0.403 eV/atom
# - Magnetic moment: 0.01 μB/cell
# - DOS at the Fermi energy: 12.1 states/eV per cell

Entry 2:
# NaTbSb2 | the Alexandria database | GGA-PBE | optimized geometry
data_NaTbSb2
_space_group_name_H-M_alt 'R 3 m'
_space_group_IT_number 160
_space_group_name_Hall 'R 3 -2"'
_cell_length_a 4.7751
_cell_length_b 4.7751
_cell_length_c 18.7078
_cell_angle_alpha 90.00
_cell_angle_beta 90.00
_cell_angle_gamma 120.00
loop_
_atom_site_label
_atom_site_fract_x
_atom_site_fract_y
_atom_site_fract_z
Na1 0.0000 0.0000 0.0000
Tb1 0.0000 0.0000 0.8193
Sb1 0.0000 0.0000 0.2407
Sb2 0.0000 0.0000 0.4039
# - Energy relative to the elements, uncorrected: -0.559 eV/atom
# - Magnetic moment: 0.00 μB/cell
# - DOS at the Fermi energy: 3.6 states/eV per cell

Entry 3:
# NaTbSb2 | the Alexandria database | GGA-PBE | optimized geometry
data_NaTbSb2
_space_group_name_H-M_alt 'R -3 m'
_space_group_IT_number 166
_space_group_name_Hall '-R 3 2"'
_cell_length_a 4.4223
_cell_length_b 4.4223
_cell_length_c 22.7012
_cell_angle_alpha 90.00
_cell_angle_beta 90.00
_cell_angle_gamma 120.00
loop_
_atom_site_label
_atom_site_fract_x
_atom_site_fract_y
_atom_site_fract_z
Na1 0.0000 0.0000 0.0000
Tb1 0.0000 0.0000 0.5000
Sb1 0.0000 0.0000 0.2429
# - Energy relative to the elements, uncorrected: -0.443 eV/atom
# - Magnetic moment: 0.00 μB/cell
# - DOS at the Fermi energy: 7.8 states/eV per cell

Entry 4:
# Na3TbSb2Te6 | the Alexandria database | GGA-PBE | optimized geometry
data_Na3TbSb2Te6
_space_group_name_H-M_alt 'C 1 2/m 1'
_space_group_IT_number 12
_cell_length_a 7.708
_cell_length_b 13.360
_cell_length_c 7.987
_cell_angle_alpha 90.00
_cell_angle_beta 108.77
_cell_angle_gamma 90.00
loop_
_space_group_symop_operation_xyz
'x,y,z'
'-x,-y,-z'
'-x,y,-z'
'x,-y,z'
'x+1/2,y+1/2,z'
'-x+1/2,-y+1/2,-z'
'-x+1/2,y+1/2,-z'
'x+1/2,-y+1/2,z'
loop_
_atom_site_label
_atom_site_fract_x
_atom_site_fract_y
_atom_site_fract_z
Na1 0.000 0.000 0.000
Na2 0.000 0.329 0.000
Tb1 0.000 0.500 0.500
Sb1 0.000 0.166 0.500
Te1 0.242 0.000 0.732
Te2 0.244 0.332 0.729
# - Energy relative to the elements, uncorrected: -0.741 eV/atom
# - Magnetic moment: 0.00 μB/cell

Entry 5:
# Na3Tb2SbTe6 | the Alexandria database | GGA-PBE | optimized geometry
data_Na3Tb2SbTe6
_space_group_name_H-M_alt 'C 1 2/m 1'
_space_group_IT_number 12
_cell_length_a 7.715
_cell_length_b 13.361
_cell_length_c 7.974
_cell_angle_alpha 90.00
_cell_angle_beta 108.81
_cell_angle_gamma 90.00
loop_
_space_group_symop_operation_xyz
'x,y,z'
'-x,-y,-z'
'-x,y,-z'
'x,-y,z'
'x+1/2,y+1/2,z'
'-x+1/2,-y+1/2,-z'
'-x+1/2,y+1/2,-z'
'x+1/2,-y+1/2,z'
loop_
_atom_site_label
_atom_site_fract_x
_atom_site_fract_y
_atom_site_fract_z
Na1 0.000 0.000 0.000
Na2 0.000 0.337 0.000
Tb1 0.000 0.167 0.500
Sb1 0.000 0.500 0.500
Te1 0.243 0.335 0.732
Te2 0.246 0.000 0.730
# - Energy relative to the elements, uncorrected: -1.029 eV/atom
# - Magnetic moment: 0.00 μB/cell
# - DOS at the Fermi energy: 0.0 states/eV per cell

Entry 6:
# NaTcSbTe2 | the Alexandria database | GGA-PBE | optimized geometry
data_NaTcSbTe2
_space_group_name_H-M_alt 'P 4/m m m'
_space_group_IT_number 123
_space_group_name_Hall '-P 4 2'
_cell_length_a 5.496
_cell_length_b 5.496
_cell_length_c 5.148
_cell_angle_alpha 90.00
_cell_angle_beta 90.00
_cell_angle_gamma 90.00
loop_
_atom_site_label
_atom_site_fract_x
_atom_site_fract_y
_atom_site_fract_z
Na1 0.000 0.000 0.000
Tc1 0.500 0.500 0.500
Sb1 0.500 0.500 0.000
Te1 0.000 0.500 0.500
# - Energy relative to the elements, uncorrected: 0.193 eV/atom
# - Magnetic moment: 2.27 μB/cell
# - DOS at the Fermi energy: 4.8 states/eV per cell